An optimized crystal structure of Pu2NbRh6. Source: Alexandria via LeMat-Bulk, functional PBE.

Summary:
VASP energy: -9.54 eV per atom
Total magnetization: 8.40 Bohr magnetons per cell

Cell and atoms, written as POSCAR:
```
Pu2NbRh6
1.0
4.911 -2.835 0.000
4.911 2.835 0.000
-0.011 0.000 5.807
Pu Nb Rh
2 1 6
Direct
0.167 0.167 0.182
0.833 0.833 0.818
0.500 0.500 0.000
0.146 0.676 0.318
0.323 0.323 0.682
0.324 0.854 0.682
0.676 0.146 0.318
0.677 0.677 0.318
0.854 0.324 0.682
```


An optimized crystal structure of PuNbRuRh. Source: Alexandria via LeMat-Bulk, functional PBE.

Summary:
VASP energy: -10.42 eV per atom
Total magnetization: 18.21 Bohr magnetons per cell

Cell and atoms, written as POSCAR:
```
PuNbRuRh
1.0
6.575 0.000 0.000
0.000 6.575 0.000
0.000 0.000 6.575
Pu Nb Ru Rh
4 4 4 4
Direct
0.000 0.000 0.000
0.000 0.500 0.500
0.500 0.000 0.500
0.500 0.500 0.000
0.000 0.000 0.500
0.000 0.500 0.000
0.500 0.000 0.000
0.500 0.500 0.500
0.250 0.250 0.750
0.250 0.750 0.250
0.750 0.250 0.250
0.750 0.750 0.750
0.250 0.250 0.250
0.250 0.750 0.750
0.750 0.250 0.750
0.750 0.750 0.250
```


An optimized crystal structure of PuZrNbRh. Source: Alexandria via LeMat-Bulk, functional PBE.

Summary:
VASP energy: -10.24 eV per atom
Total magnetization: 15.92 Bohr magnetons per cell

Cell and atoms, written as POSCAR:
```
PuZrNbRh
1.0
6.771 0.000 0.000
0.000 6.771 0.000
0.000 0.000 6.771
Pu Zr Nb Rh
4 4 4 4
Direct
0.000 0.000 0.000
0.000 0.500 0.500
0.500 0.000 0.500
0.500 0.500 0.000
0.000 0.000 0.500
0.000 0.500 0.000
0.500 0.000 0.000
0.500 0.500 0.500
0.250 0.250 0.750
0.250 0.750 0.250
0.750 0.250 0.250
0.750 0.750 0.750
0.250 0.250 0.250
0.250 0.750 0.750
0.750 0.250 0.750
0.750 0.750 0.250
```


An optimized crystal structure of Pu2NbRu. Source: Alexandria via LeMat-Bulk, functional PBE.

Summary:
VASP energy: -11.54 eV per atom
ΔE to the lowest computed polymorph: 127 meV per atom
Total magnetization: 25.92 Bohr magnetons per cell

Cell and atoms, written as POSCAR:
```
Pu2NbRu
1.0
2.917 0.000 0.000
-1.458 2.526 0.000
0.000 0.000 31.838
Pu Nb Ru
6 3 3
Direct
0.000 0.000 0.092
0.000 0.000 0.908
0.333 0.667 0.575
0.333 0.667 0.759
0.667 0.333 0.241
0.667 0.333 0.425
0.000 0.000 0.000
0.333 0.667 0.667
0.667 0.333 0.333
0.000 0.000 0.500
0.333 0.667 0.167
0.667 0.333 0.833
```


An optimized crystal structure of PuNb2Ru3. Source: Alexandria via LeMat-Bulk, functional PBE.

Summary:
VASP energy: -10.59 eV per atom
Total magnetization: 4.70 Bohr magnetons per cell

Cell and atoms, written as POSCAR:
```
PuNb2Ru3
1.0
3.141 0.000 0.000
0.000 3.141 0.000
0.000 0.000 10.542
Pu Nb Ru
1 2 3
Direct
0.000 0.000 0.000
0.000 0.000 0.341
0.000 0.000 0.659
0.500 0.500 0.201
0.500 0.500 0.500
0.500 0.500 0.799
```


An optimized crystal structure of Pu3NbRu4. Source: Alexandria via LeMat-Bulk, functional PBE.

Summary:
VASP energy: -11.39 eV per atom
Total magnetization: 13.29 Bohr magnetons per cell

Cell and atoms, written as POSCAR:
```
Pu3NbRu4
1.0
3.224 0.000 0.000
0.000 4.751 0.000
0.000 0.000 9.687
Pu Nb Ru
3 1 4
Direct
0.000 0.000 0.000
0.000 0.500 0.254
0.000 0.500 0.746
0.000 0.000 0.500
0.500 0.000 0.275
0.500 0.000 0.725
0.500 0.500 0.000
0.500 0.500 0.500
```


An optimized crystal structure of PuNb5Ru6. Source: Alexandria via LeMat-Bulk, functional PBE.

Summary:
VASP energy: -10.20 eV per atom
Total magnetization: 4.21 Bohr magnetons per cell

Cell and atoms, written as POSCAR:
```
PuNb5Ru6
1.0
4.569 0.000 0.000
0.000 6.204 0.000
-1.496 0.000 7.019
Pu Nb Ru
1 5 6
Direct
0.000 0.000 0.000
0.000 0.500 0.000
0.309 0.500 0.676
0.311 0.000 0.664
0.689 0.000 0.336
0.691 0.500 0.324
0.203 0.254 0.354
0.203 0.746 0.354
0.500 0.250 0.000
0.500 0.750 0.000
0.797 0.254 0.646
0.797 0.746 0.646
```


An optimized crystal structure of Pu5NbRu6. Source: Alexandria via LeMat-Bulk, functional PBE.

Summary:
VASP energy: -11.50 eV per atom
Total magnetization: 5.46 Bohr magnetons per cell

Cell and atoms, written as POSCAR:
```
Pu5NbRu6
1.0
2.299 -6.956 0.000
2.299 6.956 0.000
0.000 0.000 7.011
Pu Nb Ru
5 1 6
Direct
0.000 0.000 0.000
0.334 0.666 0.500
0.335 0.665 0.000
0.665 0.335 0.000
0.666 0.334 0.500
0.000 0.000 0.500
0.160 0.840 0.262
0.160 0.840 0.738
0.500 0.500 0.275
0.500 0.500 0.725
0.840 0.160 0.262
0.840 0.160 0.738
```


no.,calculated formation energy (meV per atom)
1,-338
2,-163
3,-167
4,462
5,-203
6,-123
7,-169
8,-51